K3Ce2AuS6 | Alexandria via LeMat-Bulk | PBE-GGA | optimized geometry; symmetry = C2/m; energy = -59.7 eV per cell; energy relative to the elements, uncorrected = -16.45 eV per formula unit; magnetization = 0.00 μB/f.u.
1.0
7.407 -0.331 0.080
-3.988 6.251 0.080
-1.058 -1.832 7.221
K Ce S Au
3 2 6 1
direct
0.851 0.149 0.500
0.500 0.500 0.500
0.149 0.851 0.500
0.666 0.334 0.000
0.334 0.666 0.000
0.746 0.746 0.174
0.254 0.254 0.826
0.454 0.063 0.221
0.937 0.546 0.779
0.063 0.454 0.221
0.546 0.937 0.779
0.000 0.000 0.000

***

K2CeAu2S4 | Alexandria via LeMat-Bulk | PBE-GGA | optimized geometry; symmetry = C2/m; density of states at the Fermi level = 0.274 states/eV per atom; energy = -40.5 eV per cell; energy relative to the elements, uncorrected = -9.33 eV per formula unit; magnetization = 0.17 μB/f.u.
1.0
-1.461 -1.002 3.717
3.647 -6.821 -0.405
5.207 5.681 1.297
Ce Au S K
1 2 4 2
direct
0.000 0.000 0.000
0.675 0.012 0.350
0.325 0.988 0.650
0.806 0.795 0.611
0.485 0.236 0.970
0.194 0.205 0.389
0.515 0.764 0.030
0.133 0.574 0.266
0.867 0.426 0.734

***

KCe2AuS5 | Alexandria via LeMat-Bulk | PBE-GGA | optimized geometry; symmetry = I4/mcm; density of states at the Fermi level = 0.146 states/eV per atom; energy = -98.4 eV per cell; energy relative to the elements, uncorrected = -12.31 eV per formula unit; magnetization = 0.29 μB/f.u.
1.0
7.776 0.000 0.000
0.000 7.776 0.000
-3.888 -3.888 7.201
S K Ce Au
10 2 4 2
direct
0.000 0.000 0.000
0.263 0.763 0.236
0.527 0.737 0.764
0.973 0.473 0.236
0.500 0.500 0.000
0.237 0.027 0.764
0.737 0.237 0.764
0.473 0.263 0.236
0.027 0.527 0.764
0.763 0.973 0.236
0.750 0.750 0.500
0.250 0.250 0.500
0.335 0.835 0.000
0.835 0.665 0.000
0.165 0.335 0.000
0.665 0.165 0.000
0.250 0.750 0.500
0.750 0.250 0.500

***

K2CeAuS4 | Alexandria via LeMat-Bulk | PBE-GGA | optimized geometry; symmetry = I-4; density of states at the Fermi level = 0.576 states/eV per atom; energy = -36.0 eV per cell; energy relative to the elements, uncorrected = -8.06 eV per formula unit; magnetization = 0.68 μB/f.u.
1.0
-5.575 3.641 0.137
-1.336 -6.522 0.182
3.819 1.178 5.328
S K Au Ce
4 2 1 1
direct
0.559 0.297 0.387
0.090 0.263 0.703
0.441 0.828 0.737
0.910 0.613 0.172
0.000 0.000 0.000
0.500 0.750 0.250
0.000 0.500 0.500
0.500 0.250 0.750

***

KCe2Au2S6 | Alexandria via LeMat-Bulk | PBE-GGA | optimized geometry; symmetry = P-1; density of states at the Fermi level = 0.522 states/eV per atom; energy = -56.1 eV per cell; energy relative to the elements, uncorrected = -11.78 eV per formula unit; magnetization = 0.00 μB/f.u.
1.0
-5.843 -0.889 4.286
0.754 -5.020 5.205
-0.505 7.711 1.927
S Ce Au K
6 2 2 1
direct
0.068 0.548 0.832
0.573 0.205 0.939
0.932 0.452 0.168
0.427 0.795 0.061
0.827 0.159 0.429
0.173 0.841 0.571
0.173 0.656 0.173
0.827 0.344 0.827
0.261 0.760 0.813
0.739 0.240 0.187
0.500 0.000 0.500

***

KCeAuSe3 | Alexandria via LeMat-Bulk | PBE-GGA | optimized geometry; symmetry = Cmcm; energy = -56.3 eV per cell; energy relative to the elements, uncorrected = -7.40 eV per formula unit; magnetization = 0.14 μB/f.u.
1.0
-0.036 -3.087 -2.935
5.505 4.942 -2.174
7.312 -5.595 5.795
Se Au Ce K
6 2 2 2
direct
0.371 0.742 0.546
0.071 0.142 0.750
0.371 0.742 0.954
0.929 0.858 0.250
0.629 0.258 0.454
0.629 0.258 0.046
0.460 0.921 0.750
0.540 0.079 0.250
0.000 0.000 0.500
0.000 0.000 0.000
0.249 0.498 0.250
0.751 0.502 0.750